Tm2RuAu: single point on PBEsol structure, SCAN.

Summary:
**Uncorrected energy**: -52.73 eV per atom
**Formation energy**: -3.28 eV per formula unit
**Space group**: Fm-3m (225)
**Crystal system**: cubic
**N(E_F)**: 1.9 states/eV/f.u.
**Total magnetic moment**: 0.0 μB per formula unit

a b c (Å): 4.7995 4.7995 4.7995
angles (deg): 60.00 60.00 60.00
With the nearest neighbours (Å) after each atom.
Atoms (fractional coordinates):
Tm 0.2500 0.2500 0.2500  4 Ru 2.94, 4 Au 2.94
Tm 0.7500 0.7500 0.7500  4 Ru 2.94, 4 Au 2.94
Ru 0.0000 0.0000 0.0000  8 Tm 2.94
Au 0.5000 0.5000 0.5000  8 Tm 2.94